Density functional theory data (PBE-GGA) for an optimized crystal structure of MgZnGe2F.

Cell and atoms, written as POSCAR:
```
MgZnGe2F
1.0
-2.880 1.346 4.312
-3.056 -0.658 -1.835
0.102 -5.093 1.657
Mg Ge Zn F
1 2 1 1
direct
0.000 0.000 0.000
0.000 0.000 0.500
0.500 0.000 0.000
0.500 0.500 0.500
0.000 0.500 0.000
```

Space group: No. 123
DOS(E_F): 2.230 states/eV/cell
Uncorrected formation energy: -359 meV per atom


Density functional theory data (PBE-GGA) for an optimized crystal structure of MgZr2GeF.

Cell and atoms, written as POSCAR:
```
MgZr2GeF
1.0
5.163 0.000 0.000
0.000 4.550 0.000
0.000 0.000 5.163
Ge Mg Zr F
1 1 2 1
direct
0.000 0.500 0.000
0.000 0.000 0.000
0.000 0.000 0.500
0.500 0.000 0.000
0.500 0.500 0.500
```

Space group: No. 123
DOS(E_F): 5.501 states/eV/cell
Uncorrected formation energy: 706 meV per atom